No. 1
TaTiAl2H | PBE-GGA | optimized geometry

The calculation puts the final energy at -0.464 Ry per atom. For the total magnetic moment, the calculation gives 0.000 μB/atom. As for the crystal system: tetragonal. For the excess energy over the best structure of this formula in the dataset, the calculation gives 0 meV/atom.

The space group is P4/mmm (No. 123) and the conventional cell measures 4.0926, 4.0926 and 3.9953 Å, with angles of 90.00, 90.00 and 90.00 degrees. The inequivalent atoms are Ta at (0.0000, 0.0000, 0.0000), Ti at (0.5000, 0.5000, 0.0000), Al at (0.0000, 0.5000, 0.5000) and H at (0.5000, 0.5000, 0.5000).

No. 2
TaTi2AlH | PBE-GGA | optimized geometry

The calculation puts the final energy at -0.532 Ry per atom. For the total magnetic moment, the calculation gives 0.000 μB/atom. As for the crystal system: tetragonal. For the excess energy over the best structure of this formula in the dataset, the calculation gives 0 meV/atom.

The space group is P4/mmm (No. 123) and the conventional cell measures 4.2044, 4.2044 and 3.9063 Å, with angles of 90.00, 90.00 and 90.00 degrees. The inequivalent atoms are Ta at (0.0000, 0.0000, 0.0000), Ti at (0.0000, 0.5000, 0.5000), Al at (0.5000, 0.5000, 0.0000) and H at (0.0000, 0.0000, 0.5000).

No. 3
TaTi2AlH | PBE-GGA | optimized geometry

The calculation puts the final energy at -0.525 Ry per atom. For the total magnetic moment, the calculation gives 0.000 μB/atom. As for the crystal system: tetragonal. For the excess energy over the best structure of this formula in the dataset, the calculation gives 101 meV/atom.

The space group is P4/mmm (No. 123) and the conventional cell measures 3.9040, 3.9040 and 4.5319 Å, with angles of 90.00, 90.00 and 90.00 degrees. The inequivalent atoms are Ta at (0.0000, 0.0000, 0.0000), Ti at (0.0000, 0.5000, 0.5000), Al at (0.5000, 0.5000, 0.0000) and H at (0.5000, 0.5000, 0.5000).

No. 4
Ta2AlVH | PBE-GGA | optimized geometry

The calculation puts the final energy at -0.596 Ry per atom. For the total magnetic moment, the calculation gives 0.000 μB/atom. As for the crystal system: tetragonal.

The space group is P4/mmm (No. 123) and the conventional cell measures 4.2622, 4.2622 and 3.7066 Å, with angles of 90.00, 90.00 and 90.00 degrees. The inequivalent atoms are Ta at (0.0000, 0.5000, 0.0000), Al at (0.0000, 0.0000, 0.5000), V at (0.5000, 0.5000, 0.5000) and H at (0.5000, 0.5000, 0.0000).

No. 5
Ta2AlHW | PBE-GGA | optimized geometry

The calculation puts the final energy at -0.646 Ry per atom. For the total magnetic moment, the calculation gives 0.000 μB/atom. As for the crystal system: tetragonal.

The space group is P4/mmm (No. 123) and the conventional cell measures 4.2182, 4.2182 and 3.9339 Å, with angles of 90.00, 90.00 and 90.00 degrees. The inequivalent atoms are Ta at (0.0000, 0.5000, 0.0000), Al at (0.0000, 0.0000, 0.5000), H at (0.5000, 0.5000, 0.0000) and W at (0.5000, 0.5000, 0.5000).

No. 6
Tb2AlH | PBE-GGA | optimized geometry

The calculation puts the final energy at -0.293 Ry per atom. For the total magnetic moment, the calculation gives 0.000 μB/atom. As for the crystal system: trigonal. For the excess energy over the best structure of this formula in the dataset, the calculation gives 366 meV/atom.

The space group is R-3m (No. 166, hexagonal axes) and the conventional cell measures 4.6673, 4.6673 and 20.6921 Å, with angles of 90.00, 90.00 and 120.00 degrees. The inequivalent atoms are Tb at (0.0000, 0.0000, 0.1023), Al at (0.0000, 0.0000, 0.5000) and H at (0.0000, 0.0000, 0.0000).

No. 7
TbAlH | PBE-GGA | optimized geometry

The calculation puts the final energy at -0.325 Ry per atom. For the total magnetic moment, the calculation gives 0.000 μB/atom. As for the crystal system: orthorhombic. For the excess energy over the best structure of this formula in the dataset, the calculation gives 0 meV/atom.

The space group is Cmcm (No. 63) and the conventional cell measures 3.8913, 11.9620 and 4.2610 Å, with angles of 90.00, 90.00 and 90.00 degrees. The inequivalent atoms are Tb at (0.0000, 0.1597, 0.2500), Al at (0.0000, 0.4412, 0.2500) and H at (0.0000, 0.2403, 0.7500).

No. 8
TbAlH | PBE-GGA | optimized geometry

The calculation puts the final energy at -0.291 Ry per atom. For the total magnetic moment, the calculation gives 0.000 μB/atom. As for the crystal system: tetragonal. For the excess energy over the best structure of this formula in the dataset, the calculation gives 464 meV/atom.

The space group is I4mm (No. 107) and the conventional cell measures 3.1128, 3.1128 and 11.1219 Å, with angles of 90.00, 90.00 and 90.00 degrees. The inequivalent atoms are Tb at (0.0000, 0.0000, 0.0000), Al at (0.0000, 0.0000, 0.2844) and H at (0.0000, 0.0000, 0.5431).

No. 9
Tb3AlH | PBE-GGA | optimized geometry

The calculation puts the final energy at -0.330 Ry per atom. For the total magnetic moment, the calculation gives 0.033 μB/atom. As for the crystal system: cubic.

The space group is Pm-3m (No. 221) and the conventional cell measures 4.7885, 4.7885 and 4.7885 Å, with angles of 90.00, 90.00 and 90.00 degrees. The inequivalent atoms are Tb at (0.0000, 0.0000, 0.5000), Al at (0.5000, 0.5000, 0.5000) and H at (0.0000, 0.0000, 0.0000).

No. 10
Tb2AlH | PBE-GGA | optimized geometry

The calculation puts the final energy at -0.309 Ry per atom. For the total magnetic moment, the calculation gives 0.000 μB/atom. As for the crystal system: tetragonal. For the excess energy over the best structure of this formula in the dataset, the calculation gives 145 meV/atom.

The space group is P4/mmm (No. 123) and the conventional cell measures 3.2871, 3.2871 and 7.3422 Å, with angles of 90.00, 90.00 and 90.00 degrees. The inequivalent atoms are Tb at (0.0000, 0.0000, 0.2273), Al at (0.5000, 0.5000, 0.5000) and H at (0.5000, 0.5000, 0.0000).

No. 11
Tb2AlH2 | PBE-GGA | optimized geometry

The calculation puts the final energy at -0.332 Ry per atom. For the total magnetic moment, the calculation gives 0.000 μB/atom. As for the crystal system: tetragonal.

The space group is I4/mmm (No. 139) and the conventional cell measures 3.6331, 3.6331 and 12.7253 Å, with angles of 90.00, 90.00 and 90.00 degrees. The inequivalent atoms are Tb at (0.0000, 0.0000, 0.1467), Al at (0.0000, 0.0000, 0.5000) and H at (0.0000, 0.5000, 0.2500).

No. 12
Tb2AlH | PBE-GGA | optimized geometry

The calculation puts the final energy at -0.319 Ry per atom. For the total magnetic moment, the calculation gives 0.000 μB/atom. As for the crystal system: orthorhombic. For the excess energy over the best structure of this formula in the dataset, the calculation gives 0 meV/atom.

The space group is Pmmm (No. 47) and the conventional cell measures 3.3049, 3.5299 and 7.2746 Å, with angles of 90.00, 90.00 and 90.00 degrees. The inequivalent atoms are Tb at (0.0000, 0.0000, 0.2344), Al at (0.5000, 0.5000, 0.5000) and H at (0.5000, 0.0000, 0.0000).

- What is the total magnetic moment in the tenth record?
  0.000 μB/atom